VASP calculation (PBE-GGA) on crystalline Tb3Dy5Ho at its relaxed geometry.

The structure in CIF format:
```
data_Tb3Dy5Ho
_cell_length_a 6.3029
_cell_length_b 9.5261
_cell_length_c 11.3599
_cell_angle_alpha 110.24
_cell_angle_beta 90.00
_cell_angle_gamma 109.32
_space_group_name_H-M_alt 'P 1'
_space_group_IT_number 1
_space_group_name_Hall 'P 1'
loop_
_atom_site_label
_atom_site_type_symbol
_atom_site_fract_x
_atom_site_fract_y
_atom_site_fract_z
_atom_site_occupancy
Tb1 Tb 0.6514 0.6593 0.6243 1
Tb2 Tb 0.0000 0.0000 0.0000 1
Tb3 Tb 0.9921 0.3407 0.8757 1
Tb4 Tb 0.0079 0.6593 0.1243 1
Tb5 Tb 0.0000 0.0000 0.5000 1
Tb6 Tb 0.3486 0.3407 0.3757 1
Dy1 Dy 0.5403 0.6605 0.2865 1
Dy2 Dy 0.8468 0.3175 0.5135 1
Dy3 Dy 0.5294 0.6825 0.9865 1
Dy4 Dy 0.6043 0.0000 0.7500 1
Dy5 Dy 0.1532 0.6825 0.4865 1
Dy6 Dy 0.8798 0.3395 0.2135 1
Dy7 Dy 0.4706 0.3175 0.0135 1
Dy8 Dy 0.1202 0.6605 0.7865 1
Dy9 Dy 0.3957 0.0000 0.2500 1
Dy10 Dy 0.4597 0.3395 0.7135 1
Ho1 Ho 0.8739 0.0000 0.2500 1
Ho2 Ho 0.1261 0.0000 0.7500 1
```

- Mass density: 8.1 g/cm³
- Symmetry: C2/c
- Polymorph energy (0 for the lowest one): 0 meV/atom
- DFT total energy: -4.31 eV/atom
- Formation energy from the elements: 0.30 eV/atom